Material: Li2CoPb
Method: DFT, PBE
State: optimized geometry

Lattice parameters (Å, degrees): 3.116 3.116 26.866 90.00 90.00 120.00
Atoms (fractional coordinates):
Li  0.000  0.000  0.240
Li  0.000  0.000  0.760
Li  0.333  0.667  0.426
Li  0.333  0.667  0.907
Li  0.667  0.333  0.093
Li  0.667  0.333  0.574
Co  0.000  0.000  0.500
Co  0.333  0.667  0.167
Co  0.667  0.333  0.833
Pb  0.000  0.000  0.000
Pb  0.333  0.667  0.667
Pb  0.667  0.333  0.333

Calculated values
Formation enthalpy at 0 K ... 323 meV/atom
Total magnetic moment ... 0.4060 μB/atom

=====

Material: KSi2Mo
Method: DFT, PBE
State: optimized geometry

Lattice parameters (Å, degrees): 4.452 4.452 7.448 90.00 90.00 90.00
Atoms (fractional coordinates):
K  0.000  0.000  0.000
K  0.500  0.500  0.500
Si  0.000  0.500  0.250
Si  0.000  0.500  0.750
Si  0.500  0.000  0.250
Si  0.500  0.000  0.750
Mo  0.000  0.000  0.500
Mo  0.500  0.500  0.000

Calculated values
Energy relative to the lowest polymorph listed for this composition ... 799 meV/atom
Total magnetic moment ... 0.5039 μB/atom
ΔE_f (raw) ... 0.8766 eV/atom

=====

Material: RbGa2Sb2
Method: DFT, PBE
State: optimized geometry

Lattice parameters (Å, degrees): 8.980 8.980 3.467 90.00 90.00 90.00
Atoms (fractional coordinates):
Rb  0.000  0.000  0.000
Rb  0.500  0.500  0.000
Ga  0.125  0.375  0.000
Ga  0.375  0.875  0.000
Ga  0.625  0.125  0.000
Ga  0.875  0.625  0.000
Sb  0.163  0.663  0.500
Sb  0.337  0.163  0.500
Sb  0.663  0.837  0.500
Sb  0.837  0.337  0.500

Calculated values
Energy relative to the lowest polymorph listed for this composition ... 219 meV/atom
Total magnetic moment ... 0.0000 μB/atom
ΔE_f (raw) ... -0.0609 eV/atom

=====

Material: CsCdTc3
Method: DFT, PBE
State: optimized geometry

Lattice parameters (Å, degrees): 4.936 4.936 4.936 90.00 90.00 90.00
Atoms (fractional coordinates):
Cs  0.000  0.000  0.000
Cd  0.500  0.500  0.500
Tc  0.000  0.000  0.500
Tc  0.000  0.500  0.000
Tc  0.500  0.000  0.000

Calculated values
Energy relative to the lowest polymorph listed for this composition ... 572 meV/atom
Formation enthalpy at 0 K ... 2907 meV/atom
Total magnetic moment ... 0.9225 μB/atom

=====

Material: CaAsPbCl2
Method: DFT, PBE
State: optimized geometry

Lattice parameters (Å, degrees): 5.403 5.403 5.526 90.00 90.00 90.00
Atoms (fractional coordinates):
Ca  0.000  0.000  0.000
As  0.500  0.500  0.000
Pb  0.500  0.500  0.500
Cl  0.000  0.500  0.500
Cl  0.500  0.000  0.500

Calculated values
Total magnetic moment ... 0.0000 μB/atom
ΔE_f (raw) ... -0.6101 eV/atom

=====

Material: Sm2CuAgSe4
Method: DFT, PBE
State: optimized geometry

Lattice parameters (Å, degrees): 6.733 4.203 7.330 90.00 112.13 90.00
Atoms (fractional coordinates):
Sm  0.000  0.000  0.000
Sm  0.000  0.500  0.500
Cu  0.500  0.000  0.500
Ag  0.500  0.500  0.000
Se  0.260  0.000  0.751
Se  0.267  0.500  0.265
Se  0.733  0.500  0.735
Se  0.740  0.000  0.249

Calculated values
Total magnetic moment ... 0.0000 μB/atom
ΔE_f (raw) ... -1.0963 eV/atom

=====

Material: AlCdNi2
Method: DFT, PBE
State: optimized geometry

Lattice parameters (Å, degrees): 9.281 2.818 4.466 90.00 106.46 90.00
Atoms (fractional coordinates):
Al  0.000  0.000  0.000
Al  0.500  0.500  0.000
Cd  0.223  0.000  0.643
Cd  0.723  0.500  0.643
Ni  0.236  0.500  0.149
Ni  0.467  0.000  0.453
Ni  0.736  0.000  0.149
Ni  0.967  0.500  0.453

Calculated values
Formation enthalpy at 0 K ... -145 meV/atom
Total magnetic moment ... 0.0000 μB/atom

=====

Material: ZrSi
Method: DFT, PBE
State: optimized geometry

Lattice parameters (Å, degrees): 3.787 9.957 3.765 90.00 90.00 90.00
Atoms (fractional coordinates):
Zr  0.000  0.145  0.250
Zr  0.000  0.855  0.750
Zr  0.500  0.355  0.750
Zr  0.500  0.645  0.250
Si  0.000  0.422  0.250
Si  0.000  0.578  0.750
Si  0.500  0.078  0.750
Si  0.500  0.922  0.250

Calculated values
Total magnetic moment ... 0.0000 μB/atom
ΔE_f (raw) ... -0.9357 eV/atom

=====

Material: KSrIn
Method: DFT, PBE
State: optimized geometry

Lattice parameters (Å, degrees): 5.955 5.955 3.912 90.00 90.00 120.00
Atoms (fractional coordinates):
K  0.000  0.000  0.000
Sr  0.667  0.333  0.348
In  0.333  0.667  0.706

Calculated values
Energy relative to the lowest polymorph listed for this composition ... 127 meV/atom
Formation enthalpy at 0 K ... 3 meV/atom
Total magnetic moment ... 0.0001 μB/atom

=====

Material: TaTi3Cd
Method: DFT, PBE
State: optimized geometry

Lattice parameters (Å, degrees): 4.850 4.850 4.850 90.00 90.00 90.00
Atoms (fractional coordinates):
Ta  0.000  0.000  0.000
Ti  0.000  0.500  0.500
Ti  0.500  0.000  0.500
Ti  0.500  0.500  0.000
Cd  0.500  0.500  0.500

Calculated values
Energy relative to the lowest polymorph listed for this composition ... 1535 meV/atom
Formation enthalpy at 0 K ... 1565 meV/atom
Total magnetic moment ... 0.5261 μB/atom

=====

Material: Pu4SeBr5
Method: DFT, PBE
State: optimized geometry

Lattice parameters (Å, degrees): 9.254 9.254 8.496 100.36 100.36 25.54
Atoms (fractional coordinates):
Pu  0.002  0.002  0.241
Pu  0.335  0.335  0.935
Pu  0.665  0.665  0.065
Pu  0.998  0.998  0.759
Se  0.500  0.500  0.000
Br  0.167  0.167  0.807
Br  0.168  0.168  0.322
Br  0.500  0.500  0.500
Br  0.832  0.832  0.678
Br  0.833  0.833  0.193

Calculated values
Total magnetic moment ... 2.4601 μB/atom
ΔE_f (raw) ... -1.3377 eV/atom

=====

Material: Pr2IO2
Method: DFT, PBE
State: optimized geometry

Lattice parameters (Å, degrees): 3.987 3.987 6.991 90.00 90.00 90.00
Atoms (fractional coordinates):
Pr  0.000  0.000  0.201
Pr  0.000  0.000  0.799
I  0.500  0.500  0.500
O  0.000  0.500  0.000
O  0.500  0.000  0.000

Calculated values
Energy relative to the lowest polymorph listed for this composition ... 412 meV/atom
Total magnetic moment ... 0.0003 μB/atom
ΔE_f (raw) ... -2.1338 eV/atom